[1]
Entry from Alexandria via LeMat-Bulk: UTcRu after structural relaxation (GGA-PBE).

a = 3.0079 Å, b = 4.7217 Å, c = 7.6990 Å
α = 90.00°, β = 90.00°, γ = 90.00°
With the nearest neighbours (Å) after each atom.
Space group Amm2 (No. 38)
One atom of each set of equivalent atoms:
U  0.0000  0.0000  0.0000  1 Tc 2.28
Tc  0.0000  0.0000  0.2957  1 U 2.28
Ru  0.5000  0.0000  0.7145  2 U 2.66, 4 Tc 2.87

Output
Polymorph energy (0 for the lowest one) ... 297 meV/atom
Calculated formation energy ... 0.4 eV per formula unit
E ... -10.185 eV per atom
Volume ... 109.3 Å³/cell



[2]
Entry from Alexandria via LeMat-Bulk: HfRePOs after structural relaxation (GGA-PBE).

a = 3.9617 Å, b = 3.0614 Å, c = 10.2379 Å
α = 90.00°, β = 90.00°, γ = 90.00°
With the nearest neighbours (Å) after each atom.
Space group Amm2 (No. 38)
One atom of each set of equivalent atoms:
Hf  0.0000  0.0000  0.0000  4 P 2.69, 3 Os 2.70-2.87, 4 Re 2.95
Re  0.5000  0.0000  0.3473  1 P 2.54, 4 Os 2.75
P  0.5000  0.0000  0.5953  2 Os 2.45, 1 Re 2.54, 4 Hf 2.69
Os  0.0000  0.0000  0.7367  2 P 2.45, 1 Hf 2.70, 4 Re 2.75

Output
Polymorph energy (0 for the lowest one) ... 85 meV/atom
Calculated formation energy ... -1.1 eV per formula unit
E ... -10.041 eV per atom
Volume ... 124.2 Å³/cell



[3]
Entry from Alexandria via LeMat-Bulk: TiGaC2 after structural relaxation (GGA-PBE).

a = 5.1261 Å, b = 5.1261 Å, c = 7.7063 Å
α = 90.00°, β = 90.00°, γ = 90.00°
With the nearest neighbours (Å) after each atom.
Space group I-42d (No. 122)
One atom of each set of equivalent atoms:
Ti  0.0000  0.0000  0.0000  4 C 2.06
Ga  0.0000  0.0000  0.5000  4 C 2.05
C  0.2484  0.2500  0.6250  2 Ga 2.05, 2 Ti 2.06

Output
Calculated formation energy ... 2.1 eV per formula unit
E ... -6.825 eV per atom
Volume ... 202.5 Å³/cell



[4]
Entry from Alexandria via LeMat-Bulk: Pm2Si4Tc3 after structural relaxation (GGA-PBE).

a = 6.8434 Å, b = 6.8543 Å, c = 6.9297 Å
α = 90.00°, β = 110.50°, γ = 90.00°
With the nearest neighbours (Å) after each atom.
Space group P2_1/c (No. 14)
One atom of each set of equivalent atoms:
Pm  0.1887  0.1654  0.0559  7 Si 2.83-3.10, 1 Tc 3.11
Si  0.1082  0.5559  0.8827  4 Tc 2.51-2.68, 1 Si 2.67
Si  0.4852  0.6441  0.6305  5 Tc 2.53-2.71, 1 Si 2.73
Tc  0.2462  0.6499  0.2579  6 Si 2.51-2.68
Tc  0.5000  0.0000  0.5000  6 Si 2.54-2.71

Output
Polymorph energy (0 for the lowest one) ... 0 meV/atom
E ... -7.568 eV per atom
Volume ... 304.5 Å³/cell
E_form (uncorrected) ... -0.647 eV/atom



[5]
Entry from Alexandria via LeMat-Bulk: Be8Fe3Re after structural relaxation (GGA-PBE).

a = 4.2274 Å, b = 4.2274 Å, c = 6.9071 Å
α = 90.00°, β = 90.00°, γ = 120.00°
With the nearest neighbours (Å) after each atom.
Space group P3m1 (No. 156)
One atom of each set of equivalent atoms:
Be  0.0000  0.0000  0.0000  6 Be 2.08-2.13
Be  0.0000  0.0000  0.4944  6 Be 2.15
Be  0.1692  0.3384  0.7494  6 Be 2.08-2.15
Be  0.3412  0.1706  0.2414  6 Be 2.06-2.16
Fe  0.3333  0.6667  0.0566  12 Be 2.44-2.47, 4 Fe 2.58-2.60
Fe  0.3333  0.6667  0.4324  12 Be 2.48-2.50, 3 Re 2.58, 1 Fe 2.60
Fe  0.6667  0.3333  0.9353  12 Be 2.43-2.48, 3 Fe 2.58, 1 Re 2.62
Re  0.6667  0.3333  0.5555  12 Be 2.47-2.50, 4 Fe 2.58-2.62

Output
Calculated formation energy ... -3.3 eV per formula unit
E ... -5.912 eV per atom
Volume ... 106.9 Å³/cell



[6]
Entry from Alexandria via LeMat-Bulk: Tb2Sm7Sc after structural relaxation (GGA-PBE).

a = 8.7803 Å, b = 17.4585 Å, c = 5.1035 Å
α = 90.00°, β = 90.00°, γ = 90.00°
With the nearest neighbours (Å) after each atom.
Space group Cmmm (No. 65)
One atom of each set of equivalent atoms:
Tb  0.0000  0.2024  0.0000  4 Sm 3.13-3.28
Sm  0.0000  0.0000  0.0000  4 Sm 3.35, 2 Tb 3.53
Sm  0.0000  0.3066  0.5000  2 Tb 3.13, 1 Sc 3.38, 4 Sm 3.38
Sm  0.1806  0.3953  0.0000  4 Sm 3.17-3.38, 1 Tb 3.28, 2 Sc 3.52
Sc  0.0000  0.5000  0.5000  10 Sm 3.38-3.52

Output
Calculated formation energy ... 6.7 eV per formula unit
E ... -4.194 eV per atom
Volume ... 782.3 Å³/cell



[7]
Entry from Alexandria via LeMat-Bulk: Ba3Sr2Mg after structural relaxation (GGA-PBE).

a = 6.2991 Å, b = 19.1391 Å, c = 10.6004 Å
α = 90.00°, β = 90.00°, γ = 90.00°
With the nearest neighbours (Å) after each atom.
Space group Cmmm (No. 65)
One atom of each set of equivalent atoms:
Ba  0.0000  0.0000  0.2288  2 Mg 3.77, 2 Sr 3.98
Ba  0.0000  0.3243  0.2060  3 Mg 3.86-3.97, 2 Sr 4.01-4.32, 2 Ba 4.24
Sr  0.0000  0.1682  0.5000  8 Ba 4.32-4.43, 4 Sr 4.44-4.50
Sr  0.0000  0.5000  0.0000  8 Ba 3.98-4.01, 4 Mg 4.27
Sr  0.0000  0.5000  0.5000  8 Ba 4.26-4.59, 4 Sr 4.50
Mg  0.0000  0.1507  0.0000  8 Ba 3.77-3.97

Output
Calculated formation energy ... 0.0 eV per formula unit
E ... -1.781 eV per atom
Volume ... 1278.0 Å³/cell



[8]
Entry from Alexandria via LeMat-Bulk: ReCl2 after structural relaxation (GGA-PBE).

a = 3.0688 Å, b = 3.0688 Å, c = 13.1096 Å
α = 90.00°, β = 90.00°, γ = 90.00°
With the nearest neighbours (Å) after each atom.
Space group I4/mmm (No. 139)
One atom of each set of equivalent atoms:
Re  0.0000  0.0000  0.0000  8 Cl 2.64
Cl  0.0000  0.0000  0.3853  4 Re 2.64

Output
Polymorph energy (0 for the lowest one) ... 1001 meV/atom
E ... -4.632 eV per atom
Volume ... 123.5 Å³/cell
E_form (uncorrected) ... 0.748 eV/atom



So what do the calculations give for DOS(E_F)? Going down the list: 7.55 5.33 4.43 6.99 4.55 28.00 33.55 6.41 states/eV per cell.